(1)
VASP calculation (PBE-GGA) on a relaxed structure of NdGdPt2.

Formation enthalpy at 0 K = -1.20 eV/atom
Crystal system = orthorhombic
Excess energy over the best structure of this formula in the dataset = 0.000 eV per atom

abc: 4.5828 7.2392 5.6562
angles: 90.00 90.00 90.00
Fractional coordinates of all 8 atoms:
Nd 0.0000 0.0689 0.0000
Nd 0.5000 0.9311 0.5000
Gd 0.0000 0.5667 0.2197
Gd 0.5000 0.4333 0.7197
Pt 0.0000 0.2167 0.5151
Pt 0.0000 0.6954 0.7057
Pt 0.5000 0.3046 0.2057
Pt 0.5000 0.7833 0.0151

=====

(2)
VASP calculation (PBE-GGA) on a relaxed structure of NdGdPt2.

Formation enthalpy at 0 K = -1.20 eV/atom
Crystal system = orthorhombic
Excess energy over the best structure of this formula in the dataset = 0.005 eV per atom

abc: 4.5803 5.6681 7.2238
angles: 90.00 90.00 90.00
Fractional coordinates of all 8 atoms:
Nd 0.0000 0.1106 0.0000
Nd 0.0000 0.8894 0.5000
Gd 0.5000 0.3904 0.6353
Gd 0.5000 0.6096 0.1353
Pt 0.0000 0.4066 0.3631
Pt 0.0000 0.5934 0.8631
Pt 0.5000 0.0983 0.2748
Pt 0.5000 0.9017 0.7748

=====

(3)
VASP calculation (PBE-GGA) on a relaxed structure of NdGdPt2.

Formation enthalpy at 0 K = -1.19 eV/atom
Crystal system = orthorhombic
Excess energy over the best structure of this formula in the dataset = 0.013 eV per atom

abc: 4.5574 5.6966 5.6966
angles: 39.35 90.00 90.00
Fractional coordinates of all 4 atoms:
Nd 0.0000 0.0000 0.0000
Gd 0.5000 0.2756 0.2756
Pt 0.0000 0.7273 0.7273
Pt 0.5000 0.5516 0.5516

=====

(4)
VASP calculation (PBE-GGA) on a relaxed structure of NdGdPt2.

Formation enthalpy at 0 K = -1.20 eV/atom
Crystal system = monoclinic
Excess energy over the best structure of this formula in the dataset = 0.003 eV per atom

abc: 5.6696 4.5813 7.2255
angles: 90.00 90.91 90.00
Fractional coordinates of all 8 atoms:
Nd 0.1408 0.2500 0.1842
Nd 0.8592 0.7500 0.8158
Gd 0.3609 0.2500 0.6808
Gd 0.6391 0.7500 0.3192
Pt 0.1600 0.7500 0.4602
Pt 0.3506 0.7500 0.9518
Pt 0.6494 0.2500 0.0482
Pt 0.8400 0.2500 0.5398

=====

(5)
VASP calculation (PBE-GGA) on a relaxed structure of Nd2GdSn3Pt3.

Electronic total energy = -5.99 eV per atom
Crystal system = orthorhombic

abc: 4.1162 7.6031 7.6031
angles: 119.91 90.00 90.00
Fractional coordinates of all 9 atoms:
Nd 0.0000 0.2048 0.7952
Nd 0.0000 0.7952 0.2048
Gd 0.0000 0.3867 0.3867
Sn 0.5000 0.0493 0.0493
Sn 0.5000 0.5402 0.7934
Sn 0.5000 0.7934 0.5402
Pt 0.0000 0.7914 0.7914
Pt 0.5000 0.1330 0.4599
Pt 0.5000 0.4599 0.1330

=====

(6)
VASP calculation (PBE-GGA) on a relaxed structure of NdGdSn2Pt4.

Electronic total energy = -6.18 eV per atom
Crystal system = hexagonal

abc: 4.6018 4.6018 9.2516
angles: 90.00 90.00 120.00
Fractional coordinates of all 8 atoms:
Nd 0.0000 0.0000 0.0000
Gd 0.6667 0.3333 0.5000
Sn 0.3333 0.6667 0.2528
Sn 0.3333 0.6667 0.7472
Pt 0.0000 0.0000 0.3421
Pt 0.0000 0.0000 0.6579
Pt 0.6667 0.3333 0.1662
Pt 0.6667 0.3333 0.8338

=====

(7)
VASP calculation (PBE-GGA) on a relaxed structure of Rb2NdGdS4.

Electronic total energy = -5.32 eV per atom
Crystal system = trigonal

abc: 4.1515 4.1515 15.4173
angles: 90.00 90.00 120.00
Fractional coordinates of all 8 atoms:
Rb 0.3333 0.6667 0.2522
Rb 0.6667 0.3333 0.7478
Nd 0.0000 0.0000 0.0000
Gd 0.0000 0.0000 0.5000
S 0.3333 0.6667 0.5957
S 0.3333 0.6667 0.8990
S 0.6667 0.3333 0.1010
S 0.6667 0.3333 0.4043

=====

(8)
VASP calculation (PBE-GGA) on a relaxed structure of NdGdRe.

Formation enthalpy at 0 K = 1.14 eV/atom
Crystal system = cubic
Excess energy over the best structure of this formula in the dataset = 0.000 eV per atom

abc: 4.8359 4.8359 4.8359
angles: 60.00 60.00 60.00
Fractional coordinates of all 3 atoms:
Nd 0.0000 0.0000 0.0000
Gd 0.2500 0.2500 0.2500
Re 0.5000 0.5000 0.5000

=====

(9)
VASP calculation (PBE-GGA) on a relaxed structure of NdGdS2.

Crystal system = tetragonal
Excess energy over the best structure of this formula in the dataset = 0.014 eV per atom

abc: 4.0081 4.0081 5.6698
angles: 90.00 90.00 90.00
Fractional coordinates of all 4 atoms:
Nd 0.0000 0.0000 0.0000
Gd 0.5000 0.5000 0.5000
S 0.0000 0.0000 0.5000
S 0.5000 0.5000 0.0000

=====

(10)
VASP calculation (PBE-GGA) on a relaxed structure of NdGd2S3.

Electronic total energy = -6.43 eV per atom
Crystal system = trigonal

abc: 3.9778 3.9778 9.7999
angles: 90.00 90.00 120.00
Fractional coordinates of all 6 atoms:
Nd 0.0000 0.0000 0.0000
Gd 0.3333 0.6667 0.6642
Gd 0.6667 0.3333 0.3358
S 0.0000 0.0000 0.5000
S 0.3333 0.6667 0.1757
S 0.6667 0.3333 0.8243

=====

(11)
VASP calculation (PBE-GGA) on a relaxed structure of Nd2GdS3.

Electronic total energy = -6.45 eV per atom
Crystal system = trigonal

abc: 4.0173 4.0173 9.8961
angles: 90.00 90.00 120.00
Fractional coordinates of all 6 atoms:
Nd 0.3333 0.6667 0.1692
Nd 0.6667 0.3333 0.8308
Gd 0.0000 0.0000 0.5000
S 0.0000 0.0000 0.0000
S 0.3333 0.6667 0.6579
S 0.6667 0.3333 0.3421

=====

(12)
VASP calculation (PBE-GGA) on a relaxed structure of NdGdS2.

Crystal system = trigonal
Excess energy over the best structure of this formula in the dataset = 0.000 eV per atom

abc: 6.9785 6.9785 6.9785
angles: 33.23 33.23 33.23
Fractional coordinates of all 4 atoms:
Nd 0.0000 0.0000 0.0000
Gd 0.5000 0.5000 0.5000
S 0.2463 0.2463 0.2463
S 0.7537 0.7537 0.7537

=====

(13)
VASP calculation (PBE-GGA) on a relaxed structure of NdGd2Sb3.

Electronic total energy = -5.58 eV per atom
Crystal system = trigonal

abc: 4.4485 4.4485 10.9256
angles: 90.00 90.00 120.00
Fractional coordinates of all 6 atoms:
Nd 0.0000 0.0000 0.0000
Gd 0.3333 0.6667 0.3363
Gd 0.6667 0.3333 0.6637
Sb 0.0000 0.0000 0.5000
Sb 0.3333 0.6667 0.8280
Sb 0.6667 0.3333 0.1720

=====

(14)
VASP calculation (PBE-GGA) on a relaxed structure of NdGdSc2Sb2.

Electronic total energy = -5.91 eV per atom
Crystal system = tetragonal

abc: 8.8054 8.8054 8.8054
angles: 151.00 151.00 41.47
Fractional coordinates of all 6 atoms:
Nd 0.0000 0.0000 0.0000
Gd 0.3518 0.3518 0.0000
Sc 0.1766 0.6766 0.5000
Sc 0.6766 0.1766 0.5000
Sb 0.5475 0.5475 0.0000
Sb 0.8049 0.8049 0.0000

=====

(15)
VASP calculation (PBE-GGA) on a relaxed structure of NdGdSb2Te2.

Electronic total energy = -5.14 eV per atom
Crystal system = tetragonal

abc: 4.3293 4.3293 9.4198
angles: 90.00 90.00 90.00
Fractional coordinates of all 6 atoms:
Nd 0.0000 0.0000 0.0000
Gd 0.5000 0.5000 0.4510
Sb 0.0000 0.5000 0.7227
Sb 0.5000 0.0000 0.7227
Te 0.0000 0.0000 0.3542
Te 0.5000 0.5000 0.1048

=====

(16)
VASP calculation (PBE-GGA) on a relaxed structure of NdGdZr2Sb2.

Electronic total energy = -6.61 eV per atom
Crystal system = tetragonal

abc: 8.9970 8.9970 8.9970
angles: 152.20 152.20 39.72
Fractional coordinates of all 6 atoms:
Nd 0.0000 0.0000 0.0000
Gd 0.3541 0.3541 0.0000
Zr 0.1788 0.6788 0.5000
Zr 0.6788 0.1788 0.5000
Sb 0.5489 0.5489 0.0000
Sb 0.8083 0.8083 0.0000

=====

(17)
VASP calculation (PBE-GGA) on a relaxed structure of NdGdSc2Si2.

Electronic total energy = -6.12 eV per atom
Crystal system = tetragonal

abc: 8.4119 8.4119 8.4119
angles: 150.65 150.65 41.98
Fractional coordinates of all 6 atoms:
Nd 0.0000 0.0000 0.0000
Gd 0.6467 0.6467 0.0000
Sc 0.3213 0.8213 0.5000
Sc 0.8213 0.3213 0.5000
Si 0.1980 0.1980 0.0000
Si 0.4465 0.4465 0.0000

=====

(18)
VASP calculation (PBE-GGA) on a relaxed structure of NdGd2Se3.

Electronic total energy = -5.90 eV per atom
Crystal system = trigonal

abc: 4.1373 4.1373 10.2036
angles: 90.00 90.00 120.00
Fractional coordinates of all 6 atoms:
Nd 0.0000 0.0000 0.0000
Gd 0.3333 0.6667 0.6643
Gd 0.6667 0.3333 0.3357
Se 0.0000 0.0000 0.5000
Se 0.3333 0.6667 0.1751
Se 0.6667 0.3333 0.8249

=====

(19)
VASP calculation (PBE-GGA) on a relaxed structure of NdGdSi2.

Crystal system = monoclinic
Excess energy over the best structure of this formula in the dataset = 0.004 eV per atom

abc: 5.8470 3.9054 8.1346
angles: 90.00 90.45 90.00
Fractional coordinates of all 8 atoms:
Nd 0.1146 0.2500 0.1800
Nd 0.8854 0.7500 0.8200
Gd 0.3857 0.2500 0.6789
Gd 0.6143 0.7500 0.3211
Si 0.1263 0.7500 0.4655
Si 0.3773 0.7500 0.9619
Si 0.6227 0.2500 0.0381
Si 0.8737 0.2500 0.5345

=====

(20)
VASP calculation (PBE-GGA) on a relaxed structure of NdGdSi2.

Crystal system = orthorhombic
Excess energy over the best structure of this formula in the dataset = 0.000 eV per atom

abc: 3.9049 8.1349 5.8422
angles: 90.00 90.00 90.00
Fractional coordinates of all 8 atoms:
Nd 0.0000 0.0714 0.0000
Nd 0.5000 0.9286 0.5000
Gd 0.0000 0.5696 0.7285
Gd 0.5000 0.4304 0.2285
Si 0.0000 0.2197 0.4885
Si 0.0000 0.7079 0.2376
Si 0.5000 0.2921 0.7376
Si 0.5000 0.7803 0.9885

=====

(21)
VASP calculation (PBE-GGA) on a relaxed structure of NdGdSi2.

Crystal system = orthorhombic
Excess energy over the best structure of this formula in the dataset = 0.003 eV per atom

abc: 3.9072 5.8464 8.1333
angles: 90.00 90.00 90.00
Fractional coordinates of all 8 atoms:
Nd 0.0000 0.1360 0.0000
Nd 0.0000 0.8640 0.5000
Gd 0.5000 0.3648 0.3590
Gd 0.5000 0.6352 0.8590
Si 0.0000 0.3768 0.6425
Si 0.0000 0.6232 0.1425
Si 0.5000 0.1282 0.7149
Si 0.5000 0.8718 0.2149

=====

(22)
VASP calculation (PBE-GGA) on a relaxed structure of NdGdSi2.

Crystal system = orthorhombic
Excess energy over the best structure of this formula in the dataset = 0.235 eV per atom

abc: 10.1011 10.1011 4.3558
angles: 90.00 90.00 155.18
Fractional coordinates of all 8 atoms:
Nd 0.0872 0.9128 0.7500
Nd 0.9128 0.0872 0.2500
Gd 0.2508 0.7492 0.2500
Gd 0.7492 0.2508 0.7500
Si 0.3540 0.6460 0.7500
Si 0.4726 0.5274 0.7500
Si 0.5274 0.4726 0.2500
Si 0.6460 0.3540 0.2500

=====

(23)
VASP calculation (PBE-GGA) on a relaxed structure of NdGd2Si2.

Electronic total energy = -5.62 eV per atom
Crystal system = tetragonal

abc: 7.7174 7.7174 4.1793
angles: 90.00 90.00 90.00
Fractional coordinates of all 10 atoms:
Nd 0.0000 0.0000 0.0000
Nd 0.5000 0.5000 0.0000
Gd 0.1759 0.3241 0.5000
Gd 0.3241 0.8241 0.5000
Gd 0.6759 0.1759 0.5000
Gd 0.8241 0.6759 0.5000
Si 0.1128 0.6128 0.0000
Si 0.3872 0.1128 0.0000
Si 0.6128 0.8872 0.0000
Si 0.8872 0.3872 0.0000

=====

(24)
VASP calculation (PBE-GGA) on a relaxed structure of NdGd3Si4.

Electronic total energy = -5.86 eV per atom
Crystal system = monoclinic

abc: 5.8018 3.8835 8.0699
angles: 90.00 90.23 90.00
Fractional coordinates of all 8 atoms:
Nd 0.0000 0.0000 0.0000
Gd 0.2293 0.5000 0.3596
Gd 0.5000 0.5000 0.8580
Gd 0.7286 0.0000 0.4998
Si 0.2418 0.0000 0.6403
Si 0.4880 0.0000 0.1444
Si 0.7378 0.5000 0.2197
Si 0.9883 0.5000 0.7118

=====

(25)
VASP calculation (PBE-GGA) on a relaxed structure of Nd2GdSi2.

Electronic total energy = -5.68 eV per atom
Crystal system = tetragonal

abc: 7.6685 7.6685 4.3744
angles: 90.00 90.00 90.00
Fractional coordinates of all 10 atoms:
Nd 0.1772 0.3228 0.0000
Nd 0.3228 0.8228 0.0000
Nd 0.6772 0.1772 0.0000
Nd 0.8228 0.6772 0.0000
Gd 0.0000 0.0000 0.5000
Gd 0.5000 0.5000 0.5000
Si 0.1134 0.6134 0.5000
Si 0.3866 0.1134 0.5000
Si 0.6134 0.8866 0.5000
Si 0.8866 0.3866 0.5000

=====

(26)
VASP calculation (PBE-GGA) on a relaxed structure of NdGdSi2Sn.

Electronic total energy = -5.55 eV per atom
Crystal system = orthorhombic

abc: 5.7753 5.7753 5.7753
angles: 136.44 114.71 81.80
Fractional coordinates of all 5 atoms:
Nd 0.0000 0.0000 0.0000
Gd 0.5670 0.5670 0.0000
Si 0.5911 0.2824 0.3087
Si 0.9737 0.2824 0.6913
Sn 0.2855 0.7855 0.5000

=====

The records above give, respectively, calculated volume values of 23.5; 23.4; 23.4; 23.5; 22.9; 21.2; 28.8; 26.7; 22.8; 22.4; 23.1; 22.7; 31.2; 26.7; 29.4; 26.4; 23.8; 25.2; 23.2; 23.2; 23.2; 23.3; 24.9; 22.7; 25.7; 23.3 Å³/atom.
The records above give, respectively, total magnetic moment values of 0.00; 0.00; 0.00; 0.00; 0.01; 0.00; 0.00; 0.15; 0.01; 0.00; 0.00; 0.01; 0.00; 0.97; 0.00; 0.01; 1.64; 0.00; 0.01; 0.01; 0.02; 0.08; 0.35; 0.00; 0.06; 0.00 μB/cell.